No. 1
Sr2WI | Alexandria via LeMat-Bulk | PBE | optimized geometry; raw formation energy = 738 meV per atom; energy above the most stable polymorph in this dataset = 0 meV per atom
1.0
0.000 4.083 4.083
4.083 0.000 4.083
4.083 4.083 0.000
I Sr W
1 2 1
Cartesian
0.000 0.000 0.000
6.125 6.125 6.125
2.042 2.042 2.042
4.083 4.083 4.083

No. 2
Y2Er3Ni2 | Alexandria via LeMat-Bulk | PBE | optimized geometry; energy above the most stable polymorph in this dataset = 115 meV per atom; ΔE_f = -0.1536 eV per atom
1.0
3.538 -0.001 0.916
-0.889 9.371 3.455
0.322 1.690 6.051
Er Ni Y
3 2 2
Cartesian
2.798 3.199 3.783
0.173 7.862 6.639
0.000 0.000 0.000
1.753 9.841 7.835
1.219 1.220 2.587
0.913 6.286 3.774
2.058 4.775 6.648

No. 3
Be2SiBiTe | Alexandria via LeMat-Bulk | PBE | optimized geometry; raw formation energy = 1337 meV per atom
1.0
4.712 0.000 0.000
0.000 6.132 0.000
0.000 0.000 4.712
Be Te Si Bi
2 1 1 1
Cartesian
0.000 0.000 2.356
2.356 0.000 0.000
0.000 3.066 0.000
2.356 3.066 2.356
0.000 0.000 0.000

No. 4
NaNiS | Alexandria via LeMat-Bulk | PBE | optimized geometry; raw formation energy = -620 meV per atom
1.0
-3.560 -2.033 1.552
1.544 -3.308 -0.791
0.560 1.571 3.342
Ni Na S
1 1 1
Cartesian
0.294 -0.394 2.224
-1.157 -3.037 1.622
-0.593 -0.339 0.259

No. 5
LaScTlSn | Alexandria via LeMat-Bulk | PBE | optimized geometry; ΔE_f = -0.4416 eV per atom
1.0
5.372 0.000 0.000
2.686 4.652 0.000
2.686 1.551 4.386
Sc Sn Tl La
1 1 1 1
Cartesian
0.000 0.000 0.000
2.686 1.551 1.097
8.058 4.652 3.290
5.372 3.101 2.193

No. 6
CaCuSiH2O5 | Alexandria via LeMat-Bulk | PBE | optimized geometry; final energy = -6.2273 eV per atom
1.0
-6.897 4.520 -13.965
4.205 -1.350 -2.514
-0.939 -5.180 -1.213
Si O Ca H Cu
4 20 4 8 4
Cartesian
0.960 -2.323 -8.538
-6.967 -1.028 -13.620
3.336 -0.982 -4.072
-4.591 0.313 -9.154
-1.315 -3.671 -6.021
-1.838 -1.050 -6.891
-4.968 0.321 -10.749
-6.299 0.443 -13.935
-0.046 -3.573 -8.906
1.337 -2.331 -6.943
-5.099 3.305 -11.358
-3.352 -0.558 -13.425
1.468 -5.315 -6.334
2.668 -2.453 -3.757
0.167 -0.853 -8.750
-0.279 -1.452 -4.267
-2.316 1.661 -11.671
-3.338 2.951 -14.273
-3.799 -1.157 -8.942
2.395 -5.211 -3.895
-0.293 -4.961 -3.419
-3.585 1.563 -8.786
-1.793 -0.960 -10.801
-6.027 3.201 -13.797
-4.004 -1.786 -11.352
0.372 -0.224 -6.340
0.910 -3.474 -4.908
-4.541 1.464 -12.784
-1.722 1.757 -12.501
-1.910 -3.767 -5.191
-3.733 -1.083 -14.181
-2.342 -0.734 -13.413
-1.502 -2.774 -6.413
0.102 -0.927 -3.511
-1.289 -1.276 -4.279
-2.130 0.764 -11.279
2.103 -0.675 -1.257
-1.816 -1.005 -8.846
-0.470 -2.590 -0.606
-3.449 2.260 -6.983

No. 7
SmAlRu2 | Alexandria via LeMat-Bulk | PBE | optimized geometry; ΔE_f = 0.0302 eV per atom
1.0
-1.866 -0.466 -2.662
-3.067 -1.128 0.322
-4.249 6.713 -0.223
Ru Sm Al
2 1 1
Cartesian
-6.969 4.070 -1.904
-2.212 1.049 -0.658
-4.591 2.560 -1.281
0.000 0.000 0.000

No. 8
CeLuZn2 | Alexandria via LeMat-Bulk | PBE | optimized geometry; energy above the most stable polymorph in this dataset = 4 meV per atom; ΔE_f = -0.2614 eV per atom
1.0
-2.463 -0.088 -2.431
-2.425 -0.194 2.463
-0.430 7.465 0.164
Zn Ce Lu
2 1 1
Cartesian
-0.098 1.704 0.037
-0.332 5.761 0.126
-2.659 3.592 0.098
-2.444 -0.141 0.016

No. 9
K2PrYSe4 | Alexandria via LeMat-Bulk | PBE | optimized geometry; raw formation energy = -1757 meV per atom
1.0
4.301 0.000 0.000
0.000 7.448 0.126
0.000 -2.612 7.659
Se Y K Pr
4 1 2 1
Cartesian
2.151 1.154 1.613
0.000 5.001 1.707
0.000 -0.165 6.078
2.151 3.682 6.172
0.000 0.000 0.000
2.151 -1.306 3.829
0.000 2.418 3.892
2.151 3.724 0.063

No. 10
NaAl2Ru | Alexandria via LeMat-Bulk | PBE | optimized geometry; energy above the most stable polymorph in this dataset = 0 meV per atom; ΔE_f = -0.0467 eV per atom
1.0
0.000 3.145 3.145
3.145 0.000 3.145
3.145 3.145 0.000
Al Na Ru
2 1 1
Cartesian
1.572 1.572 1.572
4.717 4.717 4.717
0.000 0.000 0.000
3.145 3.145 3.145

No. 11
Tm2ZrU2Ru5 | Alexandria via LeMat-Bulk | PBE | optimized geometry; ΔE_f = -0.2987 eV per atom
1.0
-1.763 -0.271 -3.042
-5.102 -8.352 3.701
-7.490 6.251 3.783
Ru U Tm Zr
10 4 4 2
Cartesian
-7.086 4.410 1.670
-7.268 -6.782 2.773
-6.503 0.847 1.650
-5.380 -2.053 1.257
-2.307 -1.541 -0.569
-4.626 2.990 0.371
-12.047 -0.832 5.012
-8.975 -0.319 3.186
-3.432 -4.312 0.330
-7.851 -3.219 2.793
-5.484 2.836 2.925
-2.881 -2.160 1.862
-9.711 0.059 5.622
-7.108 -4.937 4.559
-7.867 2.438 4.341
-3.333 0.604 1.877
-9.259 -2.705 5.607
-4.725 -4.539 3.143
0.000 0.000 0.000
-6.296 -1.051 3.742

No. 12
LaSi2Ru | Alexandria via LeMat-Bulk | PBE | optimized geometry; raw formation energy = -370 meV per atom
1.0
3.211 0.000 0.000
0.000 3.211 0.000
0.000 0.000 6.950
La Si Ru
1 2 1
Cartesian
0.000 0.000 3.444
0.000 0.000 6.846
1.606 1.606 1.291
1.606 1.606 5.793

No. 13
SrW2Cl | Alexandria via LeMat-Bulk | PBE | optimized geometry; raw formation energy = 480 meV per atom; energy above the most stable polymorph in this dataset = 363 meV per atom
1.0
7.209 0.013 -0.003
5.193 5.000 0.003
-5.876 -3.310 2.546
W Cl Sr
2 1 1
Cartesian
12.273 4.962 0.000
6.329 2.559 0.000
3.767 -0.395 1.271
2.759 2.098 1.275

No. 14
ErVOs | Alexandria via LeMat-Bulk | PBE | optimized geometry; energy above the most stable polymorph in this dataset = 480 meV per atom; ΔE_f = 0.2129 eV per atom
1.0
-4.375 -2.793 2.294
4.543 -2.494 2.311
-0.200 5.609 6.446
Os V Er
4 4 4
Cartesian
0.020 -1.033 7.535
-0.052 1.355 3.517
-0.130 3.456 7.353
0.098 -3.134 3.699
0.083 -2.809 6.004
0.024 -0.883 2.877
-0.114 3.130 5.047
-0.056 1.204 8.175
-1.809 0.101 5.522
-2.582 -2.733 2.298
1.777 0.221 5.529
2.750 -2.554 2.308

No. 15
Re3GeIr | Alexandria via LeMat-Bulk | PBE | optimized geometry; energy above the most stable polymorph in this dataset = 322 meV per atom; ΔE_f = 2.2308 eV per atom
1.0
4.746 0.000 0.000
0.000 4.746 0.000
0.000 0.000 4.746
Re Ge Ir
3 1 1
Cartesian
0.000 2.373 0.000
0.000 0.000 2.373
2.373 0.000 0.000
2.373 2.373 2.373
0.000 0.000 0.000

No. 16
RbMgSc2Cr | Alexandria via LeMat-Bulk | PBE | optimized geometry; energy above the most stable polymorph in this dataset = 363 meV per atom; ΔE_f = 1.3296 eV per atom
1.0
5.509 0.000 0.000
0.000 6.250 0.000
0.000 0.000 5.509
Cr Mg Sc Rb
1 1 2 1
Cartesian
2.754 3.125 2.754
0.000 0.000 0.000
2.754 0.000 0.000
0.000 0.000 2.754
0.000 3.125 0.000

No. 17
Y3Be | Alexandria via LeMat-Bulk | PBE | optimized geometry; energy above the most stable polymorph in this dataset = 143 meV per atom; ΔE_f = 0.2066 eV per atom
1.0
10.133 -0.007 -0.004
9.501 3.522 -0.004
9.501 1.701 3.084
Y Be
3 1
Cartesian
21.345 3.821 2.253
14.567 2.608 1.538
7.790 1.394 0.822
0.000 0.000 0.000

No. 18
La3PmGa | Alexandria via LeMat-Bulk | PBE | optimized geometry; energy above the most stable polymorph in this dataset = 553 meV per atom; ΔE_f = 0.3432 eV per atom
1.0
-3.038 4.288 -1.587
-0.076 -3.016 -8.004
-6.187 -2.343 5.512
Pm La Ga
2 6 2
Cartesian
-2.707 1.409 -0.505
-6.593 -2.479 -3.574
-4.192 -4.078 -2.994
-4.612 0.973 1.962
-1.543 1.172 -3.374
-1.570 0.100 -6.217
-4.650 -0.535 -2.040
-2.071 -1.281 0.502
-1.435 -2.372 -3.663
-4.828 -2.987 1.171

No. 19
RbHg2Se2Cl | Alexandria via LeMat-Bulk | PBE | optimized geometry; raw formation energy = -687 meV per atom
1.0
6.883 0.000 0.000
0.000 10.244 1.409
0.000 -2.292 6.657
Rb Hg Cl Se
2 4 2 4
Cartesian
5.163 1.879 6.135
1.721 6.073 1.931
6.865 6.857 6.225
3.424 1.095 1.841
0.018 1.095 1.841
3.460 6.857 6.225
5.163 6.956 1.030
1.721 0.996 7.037
1.721 9.571 2.774
5.163 -1.618 5.293
5.163 2.698 2.670
1.721 5.254 5.396

No. 20
TaTiRu | Alexandria via LeMat-Bulk | PBE | optimized geometry; energy above the most stable polymorph in this dataset = 318 meV per atom; ΔE_f = 0.0182 eV per atom
1.0
-2.667 3.105 -1.338
-1.547 -3.376 2.180
2.787 0.779 3.189
Ru Ti Ta
1 1 1
Cartesian
0.329 1.149 2.016
-2.088 1.663 1.095
-1.468 0.364 3.779

The records above give, respectively, total moment values of 3.98, 0.00, 0.00, 0.00, 0.00, 4.06, 0.00, 0.87, 0.00, 0.00, 0.00, 0.00, 0.00, 2.84, 1.50, 6.23, 0.00, 0.00, 0.00, 0.00 μB per cell.